Arrangement P

# Sm6Tm (PBE, relaxed)
# Crystal system   tetragonal
data_Sm6Tm
_cell_length_a 6.539
_cell_length_b 6.539
_cell_length_c 11.226
_cell_angle_alpha 90.00
_cell_angle_beta 90.00
_cell_angle_gamma 90.00
_symmetry_space_group_name_H-M 'P 4/n b m'
_symmetry_Int_Tables_number 125
loop_
_symmetry_equiv_pos_as_xyz
'x,y,z'
'-x,-y,-z'
'-y+1/2,x,z'
'y+1/2,-x,-z'
'-x+1/2,-y+1/2,z'
'x+1/2,y+1/2,-z'
'y,-x+1/2,z'
'-y,x+1/2,-z'
'x,-y+1/2,-z'
'-x,y+1/2,z'
'-y+1/2,-x+1/2,-z'
'y+1/2,x+1/2,z'
'-x+1/2,y,-z'
'x+1/2,-y,z'
'y,x,-z'
'-y,-x,z'
loop_
_atom_site_label
_atom_site_type_symbol
_atom_site_fract_x
_atom_site_fract_y
_atom_site_fract_z
_atom_site_occupancy
Sm1 Sm 0.082 0.582 0.139 1
Sm2 Sm 0.250 0.250 0.363 1
Tm1 Tm 0.250 0.750 0.500 1

---

Arrangement Q

# Sm6Tm (PBE, relaxed)
# Crystal system   cubic
data_Sm6Tm
_cell_length_a 8.078
_cell_length_b 8.078
_cell_length_c 8.078
_cell_angle_alpha 90.00
_cell_angle_beta 90.00
_cell_angle_gamma 90.00
_symmetry_space_group_name_H-M 'I m -3 m'
_symmetry_Int_Tables_number 229
_symmetry_space_group_name_Hall '-I 4 2 3'
loop_
_atom_site_label
_atom_site_type_symbol
_atom_site_fract_x
_atom_site_fract_y
_atom_site_fract_z
_atom_site_occupancy
Sm1 Sm 0.000 0.250 0.500 1
Tm1 Tm 0.000 0.000 0.000 1

---

On energetic grounds, arrangement P is preferred over the next structure by 1108 meV per atom.

---

Arrangement P

# Sm5Tm7 (PBE, relaxed)
# Crystal system   monoclinic
data_Sm5Tm7
_cell_length_a 18.455
_cell_length_b 3.564
_cell_length_c 13.026
_cell_angle_alpha 90.00
_cell_angle_beta 118.17
_cell_angle_gamma 90.00
_symmetry_space_group_name_H-M 'C 1 2/m 1'
_symmetry_Int_Tables_number 12
loop_
_symmetry_equiv_pos_as_xyz
'x,y,z'
'-x,-y,-z'
'-x,y,-z'
'x,-y,z'
'x+1/2,y+1/2,z'
'-x+1/2,-y+1/2,-z'
'-x+1/2,y+1/2,-z'
'x+1/2,-y+1/2,z'
loop_
_atom_site_label
_atom_site_type_symbol
_atom_site_fract_x
_atom_site_fract_y
_atom_site_fract_z
_atom_site_occupancy
Sm1 Sm 0.000 0.000 0.000 1
Sm2 Sm 0.165 0.000 0.498 1
Sm3 Sm 0.195 0.500 0.751 1
Tm1 Tm 0.000 0.500 0.500 1
Tm2 Tm 0.028 0.000 0.750 1
Tm3 Tm 0.138 0.500 0.248 1
Tm4 Tm 0.166 0.500 0.997 1

---

Arrangement Q

# Sm5Tm7 (PBE, relaxed)
# Crystal system   monoclinic
data_Sm5Tm7
_cell_length_a 9.651
_cell_length_b 5.626
_cell_length_c 14.602
_cell_angle_alpha 90.00
_cell_angle_beta 102.95
_cell_angle_gamma 90.00
_symmetry_space_group_name_H-M 'C 1 2/m 1'
_symmetry_Int_Tables_number 12
loop_
_symmetry_equiv_pos_as_xyz
'x,y,z'
'-x,-y,-z'
'-x,y,-z'
'x,-y,z'
'x+1/2,y+1/2,z'
'-x+1/2,-y+1/2,-z'
'-x+1/2,y+1/2,-z'
'x+1/2,-y+1/2,z'
loop_
_atom_site_label
_atom_site_type_symbol
_atom_site_fract_x
_atom_site_fract_y
_atom_site_fract_z
_atom_site_occupancy
Sm1 Sm 0.000 0.000 0.000 1
Sm2 Sm 0.106 0.500 0.801 1
Sm3 Sm 0.143 0.000 0.436 1
Tm1 Tm 0.000 0.500 0.500 1
Tm2 Tm 0.065 0.000 0.214 1
Tm3 Tm 0.191 0.500 0.081 1
Tm4 Tm 0.229 0.000 0.673 1

---

On energetic grounds, arrangement P is preferred over the next structure by 181 meV per atom.

---

Arrangement P

# Sm7Tm3 (PBE, relaxed)
# Crystal system   hexagonal
data_Sm7Tm3
_cell_length_a 11.5844
_cell_length_b 11.5844
_cell_length_c 5.6907
_cell_angle_alpha 90.00
_cell_angle_beta 90.00
_cell_angle_gamma 120.00
_symmetry_space_group_name_H-M 'P 63 m c'
_symmetry_Int_Tables_number 186
_symmetry_space_group_name_Hall 'P 6c -2c'
loop_
_atom_site_label
_atom_site_type_symbol
_atom_site_fract_x
_atom_site_fract_y
_atom_site_fract_z
_atom_site_occupancy
Sm1 Sm 0.0497 0.5248 0.0000 1
Sm2 Sm 0.1154 0.2307 0.9971 1
Sm3 Sm 0.3333 0.6667 0.9950 1
Tm1 Tm 0.2245 0.4491 0.4972 1

---

Arrangement Q

# Sm7Tm3 (PBE, relaxed)
# Crystal system   monoclinic
data_Sm7Tm3
_cell_length_a 18.298
_cell_length_b 5.502
_cell_length_c 7.058
_cell_angle_alpha 90.00
_cell_angle_beta 112.61
_cell_angle_gamma 90.00
_symmetry_space_group_name_H-M 'C 1 2/m 1'
_symmetry_Int_Tables_number 12
loop_
_symmetry_equiv_pos_as_xyz
'x,y,z'
'-x,-y,-z'
'-x,y,-z'
'x,-y,z'
'x+1/2,y+1/2,z'
'-x+1/2,-y+1/2,-z'
'-x+1/2,y+1/2,-z'
'x+1/2,-y+1/2,z'
loop_
_atom_site_label
_atom_site_type_symbol
_atom_site_fract_x
_atom_site_fract_y
_atom_site_fract_z
_atom_site_occupancy
Sm1 Sm 0.000 0.000 0.000 1
Sm2 Sm 0.109 0.500 0.360 1
Sm3 Sm 0.109 0.500 0.859 1
Sm4 Sm 0.198 0.000 0.699 1
Tm1 Tm 0.000 0.000 0.500 1
Tm2 Tm 0.200 0.000 0.200 1

---

On energetic grounds, arrangement Q is preferred over the next structure by 110 meV per atom.

---

Arrangement P

# Sm2Tm5 (PBE, relaxed)
# Crystal system   monoclinic
data_Sm2Tm5
_cell_length_a 11.126
_cell_length_b 4.991
_cell_length_c 7.894
_cell_angle_alpha 90.00
_cell_angle_beta 98.20
_cell_angle_gamma 90.00
_symmetry_space_group_name_H-M 'C 1 2/m 1'
_symmetry_Int_Tables_number 12
loop_
_symmetry_equiv_pos_as_xyz
'x,y,z'
'-x,-y,-z'
'-x,y,-z'
'x,-y,z'
'x+1/2,y+1/2,z'
'-x+1/2,-y+1/2,-z'
'-x+1/2,y+1/2,-z'
'x+1/2,-y+1/2,z'
loop_
_atom_site_label
_atom_site_type_symbol
_atom_site_fract_x
_atom_site_fract_y
_atom_site_fract_z
_atom_site_occupancy
Sm1 Sm 0.071 0.000 0.216 1
Tm1 Tm 0.000 0.500 0.500 1
Tm2 Tm 0.143 0.500 0.928 1
Tm3 Tm 0.214 0.000 0.643 1

---

Arrangement Q

# Sm2Tm5 (PBE, relaxed)
# Crystal system   monoclinic
data_Sm2Tm5
_cell_length_a 15.576
_cell_length_b 6.232
_cell_length_c 9.130
_cell_angle_alpha 90.00
_cell_angle_beta 96.08
_cell_angle_gamma 90.00
_symmetry_space_group_name_H-M 'C 1 2/c 1'
_symmetry_Int_Tables_number 15
loop_
_symmetry_equiv_pos_as_xyz
'x,y,z'
'-x,-y,-z'
'-x,y,-z+1/2'
'x,-y,z+1/2'
'x+1/2,y+1/2,z'
'-x+1/2,-y+1/2,-z'
'-x+1/2,y+1/2,-z+1/2'
'x+1/2,-y+1/2,z+1/2'
loop_
_atom_site_label
_atom_site_type_symbol
_atom_site_fract_x
_atom_site_fract_y
_atom_site_fract_z
_atom_site_occupancy
Sm1 Sm 0.073 0.168 0.108 1
Tm1 Tm 0.000 0.334 0.750 1
Tm2 Tm 0.145 0.335 0.465 1
Tm3 Tm 0.214 0.167 0.822 1

---

On energetic grounds, arrangement Q is preferred over the next structure by 20 meV per atom.

---

Arrangement P

# Sm5Y2Tm2 (PBE, relaxed)
# Crystal system   orthorhombic
data_Sm5Y2Tm2
_cell_length_a 14.893
_cell_length_b 11.871
_cell_length_c 6.725
_cell_angle_alpha 90.00
_cell_angle_beta 90.00
_cell_angle_gamma 90.00
_symmetry_space_group_name_H-M 'I m a 2'
_symmetry_Int_Tables_number 46
loop_
_symmetry_equiv_pos_as_xyz
'x,y,z'
'-x,-y,z'
'-x+1/2,y,z'
'x+1/2,-y,z'
'x+1/2,y+1/2,z+1/2'
'-x+1/2,-y+1/2,z+1/2'
'-x,y+1/2,z+1/2'
'x,-y+1/2,z+1/2'
loop_
_atom_site_label
_atom_site_type_symbol
_atom_site_fract_x
_atom_site_fract_y
_atom_site_fract_z
_atom_site_occupancy
Sm1 Sm 0.050 0.237 0.000 1
Sm2 Sm 0.144 0.729 0.674 1
Sm3 Sm 0.250 0.236 0.690 1
Y1 Y 0.128 0.508 0.335 1
Tm1 Tm 0.000 0.000 0.336 1
Tm2 Tm 0.250 0.502 0.878 1

---

Arrangement Q

# Sm5Y2Tm2 (PBE, relaxed)
# Crystal system   monoclinic
data_Sm5Y2Tm2
_cell_length_a 16.379
_cell_length_b 5.849
_cell_length_c 6.390
_cell_angle_alpha 90.00
_cell_angle_beta 105.33
_cell_angle_gamma 90.00
_symmetry_space_group_name_H-M 'C 1 2/m 1'
_symmetry_Int_Tables_number 12
loop_
_symmetry_equiv_pos_as_xyz
'x,y,z'
'-x,-y,-z'
'-x,y,-z'
'x,-y,z'
'x+1/2,y+1/2,z'
'-x+1/2,-y+1/2,-z'
'-x+1/2,y+1/2,-z'
'x+1/2,-y+1/2,z'
loop_
_atom_site_label
_atom_site_type_symbol
_atom_site_fract_x
_atom_site_fract_y
_atom_site_fract_z
_atom_site_occupancy
Sm1 Sm 0.000 0.000 0.000 1
Sm2 Sm 0.175 0.500 0.358 1
Sm3 Sm 0.210 0.000 0.066 1
Y1 Y 0.061 0.500 0.779 1
Tm1 Tm 0.102 0.000 0.527 1

---

On energetic grounds, arrangement Q is preferred over the next structure by 114 meV per atom.

---

Arrangement P

# Sm7YTm4 (PBE, relaxed)
# Crystal system   triclinic
data_Sm7YTm4
_cell_length_a 6.256
_cell_length_b 7.216
_cell_length_c 8.886
_cell_angle_alpha 90.02
_cell_angle_beta 103.66
_cell_angle_gamma 90.05
_symmetry_space_group_name_H-M 'P -1'
_symmetry_Int_Tables_number 2
loop_
_symmetry_equiv_pos_as_xyz
'x,y,z'
'-x,-y,-z'
loop_
_atom_site_label
_atom_site_type_symbol
_atom_site_fract_x
_atom_site_fract_y
_atom_site_fract_z
_atom_site_occupancy
Sm1 Sm 0.000 0.000 0.000 1
Sm2 Sm 0.222 0.500 0.665 1
Sm3 Sm 0.281 0.751 0.336 1
Sm4 Sm 0.499 0.246 0.002 1
Y1 Y 0.000 0.500 0.000 1
Tm1 Tm 0.219 0.000 0.665 1
Tm2 Tm 0.278 0.247 0.334 1

---

Arrangement Q

# Sm7YTm4 (PBE, relaxed)
# Crystal system   monoclinic
data_Sm7YTm4
_cell_length_a 12.021
_cell_length_b 5.946
_cell_length_c 12.699
_cell_angle_alpha 90.00
_cell_angle_beta 118.17
_cell_angle_gamma 90.00
_symmetry_space_group_name_H-M 'C 1 2/m 1'
_symmetry_Int_Tables_number 12
loop_
_symmetry_equiv_pos_as_xyz
'x,y,z'
'-x,-y,-z'
'-x,y,-z'
'x,-y,z'
'x+1/2,y+1/2,z'
'-x+1/2,-y+1/2,-z'
'-x+1/2,y+1/2,-z'
'x+1/2,-y+1/2,z'
loop_
_atom_site_label
_atom_site_type_symbol
_atom_site_fract_x
_atom_site_fract_y
_atom_site_fract_z
_atom_site_occupancy
Sm1 Sm 0.000 0.000 0.000 1
Sm2 Sm 0.130 0.500 0.498 1
Sm3 Sm 0.209 0.000 0.921 1
Sm4 Sm 0.237 0.000 0.678 1
Y1 Y 0.000 0.500 0.000 1
Tm1 Tm 0.065 0.000 0.317 1
Tm2 Tm 0.136 0.500 0.775 1

---

On energetic grounds, arrangement P is preferred over the next structure by 271 meV per atom.

---

Arrangement P

# Sm3Y5Tm4 (PBE, relaxed)
# Crystal system   monoclinic
data_Sm3Y5Tm4
_cell_length_a 16.039
_cell_length_b 5.876
_cell_length_c 9.233
_cell_angle_alpha 90.00
_cell_angle_beta 116.28
_cell_angle_gamma 90.00
_symmetry_space_group_name_H-M 'C 1 2/m 1'
_symmetry_Int_Tables_number 12
loop_
_symmetry_equiv_pos_as_xyz
'x,y,z'
'-x,-y,-z'
'-x,y,-z'
'x,-y,z'
'x+1/2,y+1/2,z'
'-x+1/2,-y+1/2,-z'
'-x+1/2,y+1/2,-z'
'x+1/2,-y+1/2,z'
loop_
_atom_site_label
_atom_site_type_symbol
_atom_site_fract_x
_atom_site_fract_y
_atom_site_fract_z
_atom_site_occupancy
Sm1 Sm 0.000 0.000 0.000 1
Sm2 Sm 0.207 0.500 0.228 1
Y1 Y 0.000 0.500 0.000 1
Y2 Y 0.075 0.000 0.700 1
Y3 Y 0.173 0.000 0.388 1
Tm1 Tm 0.081 0.500 0.441 1
Tm2 Tm 0.211 0.500 0.876 1

---

Arrangement Q

# Sm3Y5Tm4 (PBE, relaxed)
# Crystal system   triclinic
data_Sm3Y5Tm4
_cell_length_a 6.159
_cell_length_b 7.117
_cell_length_c 8.708
_cell_angle_alpha 90.04
_cell_angle_beta 90.06
_cell_angle_gamma 90.15
_symmetry_space_group_name_H-M 'P -1'
_symmetry_Int_Tables_number 2
loop_
_symmetry_equiv_pos_as_xyz
'x,y,z'
'-x,-y,-z'
loop_
_atom_site_label
_atom_site_type_symbol
_atom_site_fract_x
_atom_site_fract_y
_atom_site_fract_z
_atom_site_occupancy
Sm1 Sm 0.000 0.000 0.000 1
Sm2 Sm 0.165 0.748 0.666 1
Y1 Y 0.000 0.500 0.000 1
Y2 Y 0.333 0.000 0.334 1
Y3 Y 0.499 0.251 0.000 1
Tm1 Tm 0.167 0.251 0.666 1
Tm2 Tm 0.334 0.500 0.335 1

---

On energetic grounds, arrangement Q is preferred over the next structure by 221 meV per atom.

---

Arrangement P

# Sm2Y5Tm4 (PBE, relaxed)
# Crystal system   monoclinic
data_Sm2Y5Tm4
_cell_length_a 16.329
_cell_length_b 5.654
_cell_length_c 9.295
_cell_angle_alpha 90.00
_cell_angle_beta 124.29
_cell_angle_gamma 90.00
_symmetry_space_group_name_H-M 'C 1 2/m 1'
_symmetry_Int_Tables_number 12
loop_
_symmetry_equiv_pos_as_xyz
'x,y,z'
'-x,-y,-z'
'-x,y,-z'
'x,-y,z'
'x+1/2,y+1/2,z'
'-x+1/2,-y+1/2,-z'
'-x+1/2,y+1/2,-z'
'x+1/2,-y+1/2,z'
loop_
_atom_site_label
_atom_site_type_symbol
_atom_site_fract_x
_atom_site_fract_y
_atom_site_fract_z
_atom_site_occupancy
Sm1 Sm 0.089 0.000 0.249 1
Y1 Y 0.000 0.000 0.500 1
Y2 Y 0.156 0.500 0.563 1
Y3 Y 0.211 0.500 0.248 1
Tm1 Tm 0.053 0.500 0.802 1
Tm2 Tm 0.186 0.000 0.987 1

---

Arrangement Q

# Sm2Y5Tm4 (PBE, relaxed)
# Crystal system   monoclinic
data_Sm2Y5Tm4
_cell_length_a 16.530
_cell_length_b 6.649
_cell_length_c 6.620
_cell_angle_alpha 90.00
_cell_angle_beta 100.09
_cell_angle_gamma 90.00
_symmetry_space_group_name_H-M 'C 1 2/m 1'
_symmetry_Int_Tables_number 12
loop_
_symmetry_equiv_pos_as_xyz
'x,y,z'
'-x,-y,-z'
'-x,y,-z'
'x,-y,z'
'x+1/2,y+1/2,z'
'-x+1/2,-y+1/2,-z'
'-x+1/2,y+1/2,-z'
'x+1/2,-y+1/2,z'
loop_
_atom_site_label
_atom_site_type_symbol
_atom_site_fract_x
_atom_site_fract_y
_atom_site_fract_z
_atom_site_occupancy
Sm1 Sm 0.204 0.000 0.300 1
Y1 Y 0.000 0.000 0.500 1
Y2 Y 0.090 0.263 0.909 1
Tm1 Tm 0.088 0.500 0.405 1
Tm2 Tm 0.244 0.000 0.806 1

---

On energetic grounds, arrangement P is preferred over the next structure by 76 meV per atom.

---

Arrangement P

# Sm5Y4Tm (PBE, relaxed)
# Crystal system   tetragonal
data_Sm5Y4Tm
_cell_length_a 10.603
_cell_length_b 10.603
_cell_length_c 6.006
_cell_angle_alpha 90.00
_cell_angle_beta 90.00
_cell_angle_gamma 90.00
_symmetry_space_group_name_H-M 'I 4 m m'
_symmetry_Int_Tables_number 107
_symmetry_space_group_name_Hall 'I 4 -2'
loop_
_atom_site_label
_atom_site_type_symbol
_atom_site_fract_x
_atom_site_fract_y
_atom_site_fract_z
_atom_site_occupancy
Sm1 Sm 0.000 0.000 0.000 1
Sm2 Sm 0.188 0.188 0.267 1
Y1 Y 0.000 0.323 0.759 1
Tm1 Tm 0.000 0.000 0.532 1

---

Arrangement Q

# Sm5Y4Tm (PBE, relaxed)
# Crystal system   monoclinic
data_Sm5Y4Tm
_cell_length_a 28.313
_cell_length_b 3.503
_cell_length_c 6.809
_cell_angle_alpha 90.00
_cell_angle_beta 97.10
_cell_angle_gamma 90.00
_symmetry_space_group_name_H-M 'C 1 2/m 1'
_symmetry_Int_Tables_number 12
loop_
_symmetry_equiv_pos_as_xyz
'x,y,z'
'-x,-y,-z'
'-x,y,-z'
'x,-y,z'
'x+1/2,y+1/2,z'
'-x+1/2,-y+1/2,-z'
'-x+1/2,y+1/2,-z'
'x+1/2,-y+1/2,z'
loop_
_atom_site_label
_atom_site_type_symbol
_atom_site_fract_x
_atom_site_fract_y
_atom_site_fract_z
_atom_site_occupancy
Sm1 Sm 0.000 0.000 0.000 1
Sm2 Sm 0.200 0.500 0.100 1
Sm3 Sm 0.207 0.500 0.607 1
Y1 Y 0.093 0.500 0.793 1
Y2 Y 0.108 0.000 0.314 1
Tm1 Tm 0.000 0.000 0.500 1

---

On energetic grounds, arrangement Q is preferred over the next structure by 97 meV per atom.

---

Arrangement P

# Sm4Y2Tm3 (PBE, relaxed)
# Crystal system   monoclinic
data_Sm4Y2Tm3
_cell_length_a 16.196
_cell_length_b 11.654
_cell_length_c 6.160
_cell_angle_alpha 90.00
_cell_angle_beta 95.94
_cell_angle_gamma 90.00
_symmetry_space_group_name_H-M 'C 1 2/c 1'
_symmetry_Int_Tables_number 15
loop_
_symmetry_equiv_pos_as_xyz
'x,y,z'
'-x,-y,-z'
'-x,y,-z+1/2'
'x,-y,z+1/2'
'x+1/2,y+1/2,z'
'-x+1/2,-y+1/2,-z'
'-x+1/2,y+1/2,-z+1/2'
'x+1/2,-y+1/2,z+1/2'
loop_
_atom_site_label
_atom_site_type_symbol
_atom_site_fract_x
_atom_site_fract_y
_atom_site_fract_z
_atom_site_occupancy
Sm1 Sm 0.047 0.142 0.013 1
Sm2 Sm 0.214 0.354 0.845 1
Y1 Y 0.119 0.362 0.318 1
Tm1 Tm 0.000 0.400 0.750 1
Tm2 Tm 0.167 0.097 0.578 1

---

Arrangement Q

# Sm4Y2Tm3 (PBE, relaxed)
# Crystal system   monoclinic
data_Sm4Y2Tm3
_cell_length_a 16.882
_cell_length_b 9.767
_cell_length_c 7.015
_cell_angle_alpha 90.00
_cell_angle_beta 90.09
_cell_angle_gamma 90.00
_symmetry_space_group_name_H-M 'C 1 2/c 1'
_symmetry_Int_Tables_number 15
loop_
_symmetry_equiv_pos_as_xyz
'x,y,z'
'-x,-y,-z'
'-x,y,-z+1/2'
'x,-y,z+1/2'
'x+1/2,y+1/2,z'
'-x+1/2,-y+1/2,-z'
'-x+1/2,y+1/2,-z+1/2'
'x+1/2,-y+1/2,z+1/2'
loop_
_atom_site_label
_atom_site_type_symbol
_atom_site_fract_x
_atom_site_fract_y
_atom_site_fract_z
_atom_site_occupancy
Sm1 Sm 0.018 0.165 0.000 1
Sm2 Sm 0.175 0.355 0.000 1
Y1 Y 0.159 0.310 0.499 1
Tm1 Tm 0.000 0.500 0.250 1
Tm2 Tm 0.169 0.000 0.250 1

---

On energetic grounds, arrangement Q is preferred over the next structure by 45 meV per atom.